1.
A plane-wave DFT calculation with GGA-PBE was carried out for Na3Hg4Pb after structural relaxation.

Calculated values
ΔH_f (0 K) = -0.157 eV per atom
Magnetization = 0.000 μB/atom
ΔE to the lowest computed polymorph = 43 meV/atom

abc: 3.330 10.107 8.454
angles: 126.71 101.36 90.00
Element x y z (fractional)
Na 0.221 0.221 0.441
Na 0.779 0.779 0.559
Na 0.000 0.500 0.000
Hg 0.374 0.144 0.747
Hg 0.626 0.856 0.253
Hg 0.626 0.397 0.253
Hg 0.374 0.603 0.747
Pb 0.500 0.000 0.000



2.
A plane-wave DFT calculation with GGA-PBE was carried out for Na8HgPb6 after structural relaxation.

Calculated values
ΔH_f (0 K) = -0.092 eV per atom
Magnetization = 0.000 μB/atom

abc: 8.769 8.769 8.419
angles: 58.62 58.62 60.00
Element x y z (fractional)
Na 0.663 0.139 0.366
Na 0.861 0.167 0.634
Na 0.167 0.337 0.634
Na 0.585 0.585 0.244
Na 0.415 0.415 0.756
Na 0.833 0.663 0.366
Na 0.139 0.833 0.366
Na 0.337 0.861 0.634
Hg 0.000 0.000 0.000
Pb 0.475 0.947 0.863
Pb 0.053 0.286 0.137
Pb 0.286 0.525 0.137
Pb 0.714 0.475 0.863
Pb 0.947 0.714 0.863
Pb 0.525 0.053 0.137



3.
A plane-wave DFT calculation with GGA-PBE was carried out for Na12HgPb7 after structural relaxation.

Calculated values
ΔH_f (0 K) = -0.082 eV per atom
Magnetization = 0.000 μB/atom

abc: 8.863 8.863 8.863
angles: 106.84 106.84 106.84
Element x y z (fractional)
Na 0.015 0.320 0.900
Na 0.680 0.100 0.985
Na 0.675 0.228 0.388
Na 0.772 0.612 0.325
Na 0.100 0.985 0.680
Na 0.612 0.325 0.772
Na 0.388 0.675 0.228
Na 0.900 0.015 0.320
Na 0.228 0.388 0.675
Na 0.325 0.772 0.612
Na 0.320 0.900 0.015
Na 0.985 0.680 0.100
Hg 0.000 0.000 0.000
Pb 0.950 0.596 0.694
Pb 0.404 0.306 0.050
Pb 0.306 0.050 0.404
Pb 0.500 0.500 0.500
Pb 0.694 0.950 0.596
Pb 0.596 0.694 0.950
Pb 0.050 0.404 0.306